No. 1
The following is a GGA-PBE calculation of HgSe2Br after structural relaxation, from the Alexandria database.

The structure in POSCAR format:
```
HgSe2Br
1.0
-0.067 0.581 5.045
-2.431 -4.266 -1.301
2.291 -4.019 2.085
Se Br Hg
2 1 1
direct
0.000 0.000 0.000 Se
0.500 0.000 0.500 Se
0.000 0.500 0.500 Br
0.500 0.500 0.000 Hg
```

Values from the calculation:
As for the formation energy (no corrections): 0.15 eV per atom. The symmetry is I4/mmm. As for the energy relative to the lowest polymorph listed for this composition: 0.236 eV per atom. The magnetization is 0.00 μB per formula unit.

No. 2
The following is a GGA-PBE calculation of HgSe2Br after structural relaxation, from the Alexandria database.

The structure in POSCAR format:
```
HgSe2Br
1.0
7.266 0.000 0.000
0.000 7.266 0.000
3.633 3.633 4.530
Br Se Hg
2 4 2
direct
0.500 0.500 0.000 Br
0.250 0.750 0.500 Br
0.647 0.125 0.250 Se
0.103 0.625 0.250 Se
0.375 0.353 0.750 Se
0.875 0.897 0.750 Se
0.750 0.250 0.500 Hg
0.000 0.000 0.000 Hg
```

Values from the calculation:
As for the formation energy (no corrections): 0.35 eV per atom. The symmetry is I-42d. As for the energy relative to the lowest polymorph listed for this composition: 0.430 eV per atom. The magnetization is 0.00 μB per formula unit.

No. 3
The following is a GGA-PBE calculation of HgSe2Br after structural relaxation, from the Alexandria database.

The structure in POSCAR format:
```
HgSe2Br
1.0
-8.633 -5.449 5.089
-6.353 -7.680 5.547
-6.663 -5.242 7.631
Se Hg Br
2 1 1
direct
0.925 0.925 0.925 Se
0.075 0.075 0.075 Se
0.000 0.000 0.000 Hg
0.500 0.500 0.500 Br
```

Values from the calculation:
As for the formation energy (no corrections): 0.36 eV per atom. The symmetry is R-3m. As for the energy relative to the lowest polymorph listed for this composition: 0.439 eV per atom. The magnetization is 0.00 μB per formula unit.

No. 4
The following is a GGA-PBE calculation of SiHgSe2Br after structural relaxation, from the Alexandria database.

The structure in POSCAR format:
```
SiHgSe2Br
1.0
5.247 0.000 0.000
0.000 5.247 0.000
0.000 0.000 5.376
Se Si Hg Br
2 1 1 1
direct
0.500 0.000 0.000 Se
0.000 0.500 0.000 Se
0.500 0.500 0.500 Si
0.000 0.000 0.000 Hg
0.000 0.000 0.500 Br
```

Values from the calculation:
As for the formation energy (no corrections): 0.76 eV per atom. The symmetry is P4/mmm. As for the energy relative to the lowest polymorph listed for this composition: 0.616 eV per atom. The magnetization is 0.00 μB per formula unit.

No. 5
The following is a GGA-PBE calculation of SiHgSeBr2 after structural relaxation, from the Alexandria database.

The structure in POSCAR format:
```
SiHgSeBr2
1.0
-5.260 -0.654 -1.004
-0.917 -0.711 5.268
-0.771 5.307 0.582
Si Hg Br Se
1 1 2 1
direct
0.500 0.500 0.500 Si
0.000 0.000 0.000 Hg
0.500 0.000 0.000 Br
0.000 0.500 0.000 Br
0.000 0.000 0.500 Se
```

Values from the calculation:
As for the formation energy (no corrections): 0.60 eV per atom. The symmetry is P4/mmm. As for the energy relative to the lowest polymorph listed for this composition: 0.590 eV per atom. The magnetization is 0.21 μB per formula unit.

No. 6
The following is a GGA-PBE calculation of SiHgSeBr2 after structural relaxation, from the Alexandria database.

The structure in POSCAR format:
```
SiHgSeBr2
1.0
-1.980 -2.846 3.753
4.698 -1.486 1.352
0.333 3.913 3.143
Br Se Si Hg
2 1 1 1
direct
0.000 0.500 0.000 Br
0.500 0.000 0.000 Br
0.000 0.000 0.500 Se
0.000 0.000 0.000 Si
0.500 0.500 0.500 Hg
```

Values from the calculation:
As for the formation energy (no corrections): 0.01 eV per atom. The symmetry is P4/mmm. As for the energy relative to the lowest polymorph listed for this composition: 0.000 eV per atom. The magnetization is 0.00 μB per formula unit.

No. 7
The following is a GGA-PBE calculation of SiHgSe2Br after structural relaxation, from the Alexandria database.

The structure in POSCAR format:
```
SiHgSe2Br
1.0
-0.749 -4.686 -1.294
3.115 -1.468 3.512
-3.874 -0.296 3.313
Br Se Hg Si
1 2 1 1
direct
0.000 0.000 0.500 Br
0.000 0.500 0.000 Se
0.500 0.000 0.000 Se
0.500 0.500 0.500 Hg
0.000 0.000 0.000 Si
```

Values from the calculation:
As for the formation energy (no corrections): 0.15 eV per atom. The symmetry is P4/mmm. As for the energy relative to the lowest polymorph listed for this composition: 0.000 eV per atom. The magnetization is 0.00 μB per formula unit.

No. 8
The following is a GGA-PBE calculation of Sm3HgSeBr after structural relaxation, from the Alexandria database.

The structure in POSCAR format:
```
Sm3HgSeBr
1.0
-1.714 -1.940 -3.216
7.200 -2.431 -2.371
-4.957 -7.461 7.143
Sm Hg Br Se
6 2 2 2
direct
0.750 0.486 0.165 Sm
0.250 0.023 0.861 Sm
0.250 0.706 0.509 Sm
0.750 0.294 0.491 Sm
0.750 0.977 0.139 Sm
0.250 0.514 0.835 Sm
0.250 0.296 0.284 Hg
0.750 0.704 0.716 Hg
0.750 0.856 0.379 Br
0.250 0.144 0.621 Br
0.250 0.705 0.104 Se
0.750 0.295 0.896 Se
```

Values from the calculation:
As for the formation energy (no corrections): -1.09 eV per atom. The symmetry is P2_1/m. The magnetization is 0.12 μB per formula unit.

No. 9
The following is a GGA-PBE calculation of SnHgSeBr2 after structural relaxation, from the Alexandria database.

The structure in POSCAR format:
```
SnHgSeBr2
1.0
-5.163 -1.537 -1.308
-0.768 -1.824 5.178
-1.819 4.876 1.448
Br Se Hg Sn
2 1 1 1
direct
0.500 0.000 0.000 Br
0.000 0.500 0.000 Br
0.000 0.000 0.500 Se
0.500 0.500 0.500 Hg
0.000 0.000 0.000 Sn
```

Values from the calculation:
As for the formation energy (no corrections): -0.14 eV per atom. The symmetry is P4/mmm. As for the energy relative to the lowest polymorph listed for this composition: 0.000 eV per atom. The magnetization is 0.00 μB per formula unit.

No. 10
The following is a GGA-PBE calculation of Sn2HgSeBr after structural relaxation, from the Alexandria database.

The structure in POSCAR format:
```
Sn2HgSeBr
1.0
5.649 0.000 0.000
0.000 5.645 0.000
0.000 0.000 5.649
Se Sn Hg Br
1 2 1 1
direct
0.500 0.500 0.500 Se
0.000 0.000 0.500 Sn
0.500 0.000 0.000 Sn
0.000 0.500 0.000 Hg
0.000 0.000 0.000 Br
```

Values from the calculation:
As for the formation energy (no corrections): 0.54 eV per atom. The symmetry is P4/mmm. The magnetization is 0.00 μB per formula unit.

No. 11
The following is a GGA-PBE calculation of SrHgSeBr2 after structural relaxation, from the Alexandria database.

The structure in POSCAR format:
```
SrHgSeBr2
1.0
5.927 0.000 0.000
0.000 5.927 0.000
0.000 0.000 6.418
Hg Br Sr Se
1 2 1 1
direct
0.500 0.500 0.500 Hg
0.000 0.500 0.000 Br
0.500 0.000 0.000 Br
0.000 0.000 0.000 Sr
0.000 0.000 0.500 Se
```

Values from the calculation:
As for the formation energy (no corrections): -0.71 eV per atom. The symmetry is P4/mmm. As for the energy relative to the lowest polymorph listed for this composition: 0.107 eV per atom. The magnetization is 2.00 μB per formula unit.

No. 12
The following is a GGA-PBE calculation of SrHgSeBr2 after structural relaxation, from the Alexandria database.

The structure in POSCAR format:
```
SrHgSeBr2
1.0
5.532 0.000 0.000
0.000 5.532 0.000
0.000 0.000 5.389
Se Br Hg Sr
1 2 1 1
direct
0.000 0.000 0.500 Se
0.500 0.000 0.000 Br
0.000 0.500 0.000 Br
0.000 0.000 0.000 Hg
0.500 0.500 0.500 Sr
```

Values from the calculation:
As for the formation energy (no corrections): -0.81 eV per atom. The symmetry is P4/mmm. As for the energy relative to the lowest polymorph listed for this composition: 0.000 eV per atom. The magnetization is 0.00 μB per formula unit.

What is the magnetization in the sixth record? 0.00 μB per formula unit